## InGaNiF6 (GGA+U)

Data for a relaxed InGaNiF6 crystal.

Electronic total energy   -40.17 eV/cell

Cell lengths 5.311, 5.315, 5.975 Å; angles 90.16, 90.08, 59.97 degrees
Each line ends with the local moment (μB).
Positions (direct):
In  0.000  0.000  0.000  -0.01
Ga  0.334  0.333  0.500  0.00
Ni  0.667  0.667  0.500  1.83
F  0.015  0.368  0.319  0.02
F  0.369  0.015  0.681  0.02
F  0.616  0.370  0.681  0.02
F  0.014  0.617  0.681  0.02
F  0.369  0.615  0.319  0.02
F  0.616  0.014  0.319  0.02